(1)
# LaTmAg6 (PBE, optimized geometry)
data_LaTmAg6
_space_group_name_H-M_alt 'C 1 2/m 1'
_space_group_IT_number 12
_space_group_name_Hall '-C 2y'
_cell_length_a 8.944
_cell_length_b 4.641
_cell_length_c 9.380
_cell_angle_alpha 90.00
_cell_angle_beta 116.38
_cell_angle_gamma 90.00
loop_
_atom_site_label
_atom_site_fract_x
_atom_site_fract_y
_atom_site_fract_z
La1 0.000 0.000 0.000
Tm1 0.000 0.500 0.500
Ag1 0.107 0.500 0.842
Ag2 0.128 0.000 0.378
Ag3 0.238 0.000 0.735
# Calculated volume (Å³/f.u.): 174.40
# Calculated total energy (eV per atom): -3.50

=====

(2)
# La3TmAg4 (PBE, optimized geometry)
data_La3TmAg4
_space_group_name_H-M_alt 'P 4/m m m'
_space_group_IT_number 123
_space_group_name_Hall '-P 4 2'
_cell_length_a 3.725
_cell_length_b 3.725
_cell_length_c 15.360
_cell_angle_alpha 90.00
_cell_angle_beta 90.00
_cell_angle_gamma 90.00
loop_
_atom_site_label
_atom_site_fract_x
_atom_site_fract_y
_atom_site_fract_z
La1 0.000 0.000 0.000
La2 0.000 0.000 0.258
Tm1 0.000 0.000 0.500
Ag1 0.500 0.500 0.128
Ag2 0.500 0.500 0.394
# Calculated volume (Å³/f.u.): 213.14
# Calculated total energy (eV per atom): -4.11

=====

(3)
# LaTm2Ag (PBE, optimized geometry)
data_LaTm2Ag
_space_group_name_H-M_alt 'R 3 m'
_space_group_IT_number 160
_space_group_name_Hall 'R 3 -2"'
_cell_length_a 3.6245
_cell_length_b 3.6245
_cell_length_c 31.1475
_cell_angle_alpha 90.00
_cell_angle_beta 90.00
_cell_angle_gamma 120.00
loop_
_atom_site_label
_atom_site_fract_x
_atom_site_fract_y
_atom_site_fract_z
La1 0.0000 0.0000 0.0000
Tm1 0.0000 0.0000 0.2378
Tm2 0.0000 0.0000 0.4301
Ag1 0.0000 0.0000 0.8343
# Calculated volume (Å³/f.u.): 118.12
# Calculated total energy (eV per atom): -4.17

=====

(4)
# LaTmAg4 (PBE, optimized geometry)
data_LaTmAg4
_space_group_name_H-M_alt 'F -4 3 m'
_space_group_IT_number 216
_space_group_name_Hall 'F -4 2 3'
_cell_length_a 8.155
_cell_length_b 8.155
_cell_length_c 8.155
_cell_angle_alpha 90.00
_cell_angle_beta 90.00
_cell_angle_gamma 90.00
loop_
_atom_site_label
_atom_site_fract_x
_atom_site_fract_y
_atom_site_fract_z
La1 0.000 0.000 0.000
Tm1 0.250 0.250 0.250
Ag1 0.124 0.124 0.624
# Calculated volume (Å³/f.u.): 135.59
# Calculated total energy (eV per atom): -3.63

=====

(5)
# LaTm4Ag5 (PBE, optimized geometry)
data_LaTm4Ag5
_space_group_name_H-M_alt 'P 4/m m m'
_space_group_IT_number 123
_space_group_name_Hall '-P 4 2'
_cell_length_a 3.590
_cell_length_b 3.590
_cell_length_c 18.569
_cell_angle_alpha 90.00
_cell_angle_beta 90.00
_cell_angle_gamma 90.00
loop_
_atom_site_label
_atom_site_fract_x
_atom_site_fract_y
_atom_site_fract_z
La1 0.000 0.000 0.000
Tm1 0.000 0.000 0.208
Tm2 0.000 0.000 0.403
Ag1 0.500 0.500 0.117
Ag2 0.500 0.500 0.305
Ag3 0.500 0.500 0.500
# Calculated volume (Å³/f.u.): 239.32
# Calculated total energy (eV per atom): -4.03

=====

(6)
# La2TmAg (PBE, optimized geometry)
data_La2TmAg
_space_group_name_H-M_alt 'R 3 m'
_space_group_IT_number 160
_space_group_name_Hall 'R 3 -2"'
_cell_length_a 3.6892
_cell_length_b 3.6892
_cell_length_c 31.9952
_cell_angle_alpha 90.00
_cell_angle_beta 90.00
_cell_angle_gamma 120.00
loop_
_atom_site_label
_atom_site_fract_x
_atom_site_fract_y
_atom_site_fract_z
La1 0.0000 0.0000 0.0000
La2 0.0000 0.0000 0.1794
Tm1 0.0000 0.0000 0.7570
Ag1 0.0000 0.0000 0.5889
# Calculated volume (Å³/f.u.): 125.71
# Calculated total energy (eV per atom): -4.29